The following is a GGA-PBE calculation of a relaxed FeCu2SiTe crystal, from Alexandria via LeMat-Bulk. Values from VASP.

Computed properties:
raw total energy = -22.23 eV for the cell shown
formation energy without anion corrections = 2.989 eV per formula unit
mass density = 6.53 g cm⁻³
magnetic moment = 0.0 μB per formula unit
offset from the most stable computed form = 0 meV per atom

Structure (Quantum ESPRESSO input):
```
&SYSTEM
  ibrav = 0, nat = 5, ntyp = 4
/
ATOMIC_SPECIES
Si 28.09 Si.upf
Cu 63.55 Cu.upf
Fe 55.84 Fe.upf
Te 127.60 Te.upf
ATOMIC_POSITIONS angstrom
Si 0.0000 0.0000 0.0000
Cu -0.2992 0.3306 -2.1847
Cu -0.3799 2.1641 0.3796
Fe -2.1148 -0.4111 0.2274
Te -2.7939 2.0836 -1.5777
CELL_PARAMETERS angstrom
-0.5985 0.6613 -4.3694
-4.2296 -0.8223 0.4549
-0.7598 4.3282 0.7591
```

=====

The following is a GGA-PBE calculation of a relaxed Cd2Sn3 crystal, from Alexandria via LeMat-Bulk. Values from VASP.

Computed properties:
raw total energy = -26.41 eV for the cell shown
mass density = 7.00 g cm⁻³
magnetic moment = 0.0 μB per formula unit
formation energy = 0.1265 eV per atom

Structure (Quantum ESPRESSO input):
```
&SYSTEM
  ibrav = 0, nat = 10, ntyp = 2
/
ATOMIC_SPECIES
Cd 112.41 Cd.upf
Sn 118.71 Sn.upf
ATOMIC_POSITIONS angstrom
Cd -9.4665 -5.1272 -8.7300
Cd -5.0378 0.7609 -2.8314
Cd -6.3805 -3.3269 -5.8171
Cd -8.1238 -1.0393 -5.7443
Sn -5.6292 0.6333 -5.7734
Sn -5.2422 -2.3124 -3.2293
Sn -9.1486 -2.1326 -3.1411
Sn -9.2621 -2.0538 -8.3321
Sn -5.3557 -2.2337 -8.4203
Sn -8.8751 -4.9996 -5.7879
CELL_PARAMETERS angstrom
-2.3311 -1.5393 -7.4529
-6.2637 -4.7317 -1.3135
-5.9095 1.9047 -2.7950
```

=====

The following is a GGA-PBE calculation of a relaxed Pm8CoBi2 crystal, from Alexandria via LeMat-Bulk. Values from VASP.

Computed properties:
raw total energy = -55.96 eV for the cell shown
mass density = 8.23 g cm⁻³
magnetic moment = 0.0 μB per formula unit
formation energy = -0.2803 eV per atom

Structure (Quantum ESPRESSO input):
```
&SYSTEM
  ibrav = 0, nat = 11, ntyp = 3
/
ATOMIC_SPECIES
Pm 145.00 Pm.upf
Co 58.93 Co.upf
Bi 208.98 Bi.upf
ATOMIC_POSITIONS angstrom
Pm 0.8977 1.0201 7.2274
Pm 1.0931 -4.9723 1.2910
Pm -2.0630 -2.2307 2.3769
Pm -2.2585 3.7617 8.3133
Pm -1.6370 -1.7486 5.8045
Pm 0.4716 0.5380 3.7998
Pm -1.2836 -5.1916 4.0039
Pm 0.1182 3.9810 5.6005
Co -2.6750 -0.4841 0.4006
Bi -2.2119 1.4940 5.8840
Bi 1.0465 -2.7046 3.7203
CELL_PARAMETERS angstrom
-5.3501 -0.9682 0.8012
1.4023 -6.4805 1.5328
2.7825 6.2380 7.2704
```

=====

The following is a GGA-PBE calculation of a relaxed Sr3RuSe crystal, from Alexandria via LeMat-Bulk. Values from VASP.

Computed properties:
raw total energy = -18.77 eV for the cell shown
formation energy without anion corrections = -0.967 eV per formula unit
mass density = 4.19 g cm⁻³
magnetic moment = 0.0 μB per formula unit
offset from the most stable computed form = 0 meV per atom

Structure (Quantum ESPRESSO input):
```
&SYSTEM
  ibrav = 0, nat = 5, ntyp = 3
/
ATOMIC_SPECIES
Sr 87.62 Sr.upf
Ru 101.07 Ru.upf
Se 78.96 Se.upf
ATOMIC_POSITIONS angstrom
Sr -0.0991 -1.2347 -2.5110
Sr 0.7448 -2.4336 1.1673
Sr -2.6972 -0.6266 0.4146
Ru 0.0000 0.0000 0.0000
Se -2.0515 -4.2950 -0.9292
CELL_PARAMETERS angstrom
-5.3945 -1.2533 0.8291
-0.1982 -2.4695 -5.0220
1.4896 -4.8672 2.3345
```